Compound: AlTeSe3
Source: the Alexandria database
Functional: PBE-GGA
Structure: relaxed

Computed properties:
Density of states at the Fermi level = 5.0 states/eV/f.u.
Formation energy without anion corrections = 476 meV/atom
E above lowest polymorph = 382 meV/atom

Cell lengths 5.389, 5.389, 5.389 Å; angles 90.00, 90.00, 90.00 degrees
Fractional coordinates of all 5 atoms:
Se 0.500 0.000 0.000
Se 0.000 0.000 0.500
Se 0.000 0.500 0.000
Te 0.000 0.000 0.000
Al 0.500 0.500 0.500